VASP calculation (PBE-GGA) on LiNpNi2H8 after structural relaxation.

It has space group R-3 (No. 148, hexagonal axes), with a = 4.3092 Å, b = 4.3092 Å, c = 17.6606 Å, α = 90.00°, β = 90.00° and γ = 120.00°. The asymmetric unit holds Li at (0.0000, 0.0000, 0.0000), Np at (0.0000, 0.0000, 0.5000), Ni at (0.0000, 0.0000, 0.3318), H at (0.0000, 0.0000, 0.1532) and H at (0.0054, 0.6167, 0.0532).

The density of states at the Fermi level comes out at 7.2 states/eV/f.u. The value obtained for the uncorrected energy is -164.536 eV/cell. The value obtained for the density is 6479 kg/m³.